# 1
# PBE-GGA CeCdPb3, relaxed
# calculated density: 9.96 Mg/m³
# energy of formation from the pure elements: -0.119 eV per atom
# distance to the lowest polymorph of the same formula: 0.00 eV/f.u.
data_CeCdPb3
_cell_length_a 3.5499
_cell_length_b 4.8884
_cell_length_c 8.7462
_cell_angle_alpha 106.18
_cell_angle_beta 90.17
_cell_angle_gamma 90.03
_symmetry_space_group_name_H-M 'P 1'
_symmetry_Int_Tables_number 1
loop_
_symmetry_equiv_pos_as_xyz
'x,y,z'
loop_
_atom_site_label
_atom_site_type_symbol
_atom_site_fract_x
_atom_site_fract_y
_atom_site_fract_z
Ce1 Ce 0.0000 0.0000 0.0000
Cd1 Cd 0.4977 0.1980 0.3982
Pb1 Pb 0.0025 0.7853 0.5698
Pb2 Pb 0.5003 0.3912 0.7847
Pb3 Pb 0.5025 0.5894 0.1812

---

# 2
# PBE-GGA CeCd2Pb3, relaxed
# calculated density: 9.82 Mg/m³
# energy of formation from the pure elements: -0.169 eV per atom
data_CeCd2Pb3
_cell_length_a 4.8175
_cell_length_b 14.9286
_cell_length_c 4.6391
_cell_angle_alpha 90.00
_cell_angle_beta 90.00
_cell_angle_gamma 90.00
_symmetry_space_group_name_H-M 'C m m m'
_symmetry_Int_Tables_number 65
_symmetry_space_group_name_Hall '-C 2 2'
loop_
_atom_site_label
_atom_site_type_symbol
_atom_site_fract_x
_atom_site_fract_y
_atom_site_fract_z
Ce1 Ce 0.0000 0.0000 0.0000
Cd1 Cd 0.0000 0.3307 0.0000
Pb1 Pb 0.0000 0.1686 0.5000
Pb2 Pb 0.0000 0.5000 0.5000

---

# 3
# PBE-GGA CeCd11Pb, relaxed
# calculated density: 8.33 Mg/m³
# energy of formation from the pure elements: -0.036 eV per atom
data_CeCd11Pb
_cell_length_a 6.3561
_cell_length_b 14.1951
_cell_length_c 7.6472
_cell_angle_alpha 90.00
_cell_angle_beta 113.71
_cell_angle_gamma 90.00
_symmetry_space_group_name_H-M 'C 1 2/m 1'
_symmetry_Int_Tables_number 12
loop_
_symmetry_equiv_pos_as_xyz
'x,y,z'
'-x,-y,-z'
'-x,y,-z'
'x,-y,z'
'x+1/2,y+1/2,z'
'-x+1/2,-y+1/2,-z'
'-x+1/2,y+1/2,-z'
'x+1/2,-y+1/2,z'
loop_
_atom_site_label
_atom_site_type_symbol
_atom_site_fract_x
_atom_site_fract_y
_atom_site_fract_z
Ce1 Ce 0.0000 0.0000 0.0000
Cd1 Cd 0.0000 0.5000 0.5000
Cd2 Cd 0.0836 0.3924 0.2080
Cd3 Cd 0.1886 0.1791 0.3484
Cd4 Cd 0.2500 0.2500 0.0000
Pb1 Pb 0.0000 0.0000 0.5000

---

# 4
# PBE-GGA Ce3CdPb3, relaxed
# calculated density: 9.52 Mg/m³
# energy of formation from the pure elements: -0.166 eV per atom
data_Ce3CdPb3
_cell_length_a 8.8306
_cell_length_b 8.8306
_cell_length_c 5.9636
_cell_angle_alpha 90.00
_cell_angle_beta 90.00
_cell_angle_gamma 120.00
_symmetry_space_group_name_H-M 'P 63/m'
_symmetry_Int_Tables_number 176
_symmetry_space_group_name_Hall '-P 6c'
loop_
_atom_site_label
_atom_site_type_symbol
_atom_site_fract_x
_atom_site_fract_y
_atom_site_fract_z
Ce1 Ce 0.1102 0.4737 0.2500
Cd1 Cd 0.3333 0.6667 0.7500
Pb1 Pb 0.0674 0.2586 0.7500

---

# 5
# PBE-GGA Ce5CdPb6, relaxed
# calculated density: 9.73 Mg/m³
# energy of formation from the pure elements: -0.357 eV per atom
data_Ce5CdPb6
_cell_length_a 4.9226
_cell_length_b 9.3149
_cell_length_c 15.3004
_cell_angle_alpha 90.00
_cell_angle_beta 90.00
_cell_angle_gamma 90.00
_symmetry_space_group_name_H-M 'I m m m'
_symmetry_Int_Tables_number 71
_symmetry_space_group_name_Hall '-I 2 2'
loop_
_atom_site_label
_atom_site_type_symbol
_atom_site_fract_x
_atom_site_fract_y
_atom_site_fract_z
Ce1 Ce 0.0000 0.0000 0.0000
Ce2 Ce 0.0000 0.0000 0.3511
Ce3 Ce 0.0000 0.5000 0.3342
Cd1 Cd 0.0000 0.5000 0.0000
Pb1 Pb 0.0000 0.2488 0.1699
Pb2 Pb 0.0000 0.2543 0.5000

---

# 6
# PBE-GGA CeCdPb3, relaxed
# calculated density: 9.18 Mg/m³
# energy of formation from the pure elements: 0.032 eV per atom
# distance to the lowest polymorph of the same formula: 0.76 eV/f.u.
data_CeCdPb3
_cell_length_a 7.7591
_cell_length_b 7.7591
_cell_length_c 6.0661
_cell_angle_alpha 90.00
_cell_angle_beta 90.00
_cell_angle_gamma 120.00
_symmetry_space_group_name_H-M 'P 63/m m c'
_symmetry_Int_Tables_number 194
_symmetry_space_group_name_Hall '-P 6c 2c'
loop_
_atom_site_label
_atom_site_type_symbol
_atom_site_fract_x
_atom_site_fract_y
_atom_site_fract_z
Ce1 Ce 0.3333 0.6667 0.2500
Cd1 Cd 0.0000 0.0000 0.0000
Pb1 Pb 0.1964 0.3928 0.7500

---

# 7
# PBE-GGA Ce4CdPb2, relaxed
# calculated density: 8.01 Mg/m³
# energy of formation from the pure elements: 0.054 eV per atom
data_Ce4CdPb2
_cell_length_a 6.0628
_cell_length_b 6.0628
_cell_length_c 12.2678
_cell_angle_alpha 90.00
_cell_angle_beta 90.00
_cell_angle_gamma 90.00
_symmetry_space_group_name_H-M 'I 4/m m m'
_symmetry_Int_Tables_number 139
_symmetry_space_group_name_Hall '-I 4 2'
loop_
_atom_site_label
_atom_site_type_symbol
_atom_site_fract_x
_atom_site_fract_y
_atom_site_fract_z
Ce1 Ce 0.0000 0.5000 0.0000
Ce2 Ce 0.0000 0.5000 0.2500
Cd1 Cd 0.0000 0.0000 0.0000
Pb1 Pb 0.0000 0.0000 0.3678

---

# 8
# PBE-GGA Ce2CdPb, relaxed
# calculated density: 8.85 Mg/m³
# energy of formation from the pure elements: -0.293 eV per atom
data_Ce2CdPb
_cell_length_a 4.9379
_cell_length_b 4.9379
_cell_length_c 4.6170
_cell_angle_alpha 90.00
_cell_angle_beta 90.00
_cell_angle_gamma 90.00
_symmetry_space_group_name_H-M 'P 4/m m m'
_symmetry_Int_Tables_number 123
_symmetry_space_group_name_Hall '-P 4 2'
loop_
_atom_site_label
_atom_site_type_symbol
_atom_site_fract_x
_atom_site_fract_y
_atom_site_fract_z
Ce1 Ce 0.0000 0.5000 0.0000
Cd1 Cd 0.0000 0.0000 0.5000
Pb1 Pb 0.5000 0.5000 0.5000

---

Result set for total DFT energy (no corrections): -18.6; -19.9; -20.2; -31.0; -57.1; -17.8; -31.7; -17.7 eV/f.u., one per record in the order listed.